Computed, not measured: a relaxed structure of K2HfInTe5 at the PBE level of DFT.

Calculated values
**SG**: Cmc2_1, No. 36
**Formation energy from raw total energies**: -0.7074 eV/atom
**Total magnetization**: 0.00 μB per cell

```
data_K2HfInTe5
_chemical_formula_sum 'K4 Hf2 In2 Te10'
_cell_length_a 4.131
_cell_length_b 10.876
_cell_length_c 15.443
_cell_angle_alpha 90.00
_cell_angle_beta 90.00
_cell_angle_gamma 100.95
_space_group_name_H-M_alt 'P 1'
_space_group_IT_number 1
loop_
_space_group_symop_operation_xyz
'x,y,z'
loop_
_atom_site_label
_atom_site_type_symbol
_atom_site_fract_x
_atom_site_fract_y
_atom_site_fract_z
K1 K 0.867 0.734 0.819
K2 K 0.126 0.253 0.688
K3 K 0.133 0.266 0.319
K4 K 0.874 0.747 0.188
Hf1 Hf 0.789 0.579 0.526
Hf2 Hf 0.211 0.421 0.026
In1 In 0.564 0.129 0.925
In2 In 0.436 0.871 0.425
Te1 Te 0.340 0.680 0.006
Te2 Te 0.698 0.395 0.888
Te3 Te 0.501 0.001 0.770
Te4 Te 0.294 0.587 0.654
Te5 Te 0.934 0.869 0.549
Te6 Te 0.660 0.320 0.506
Te7 Te 0.302 0.605 0.388
Te8 Te 0.499 0.999 0.270
Te9 Te 0.706 0.413 0.154
Te10 Te 0.066 0.131 0.049
```